The following is a GGA-PBE calculation of a relaxed Tb2Al2Ge3 crystal, from Alexandria.

The space group is C2/m (No. 12) and the conventional cell measures 10.5850, 4.3717 and 7.6562 Å, with angles of 90.00, 116.75 and 90.00 degrees. The distinct sites, in fractional coordinates, are Tb at (0.0682, 0.0000, 0.2848), Al at (0.1908, 0.5000, 0.8692), Ge at (0.0000, 0.5000, 0.0000) and Ge at (0.2166, 0.0000, 0.7129).

The crystal system is monoclinic. The value obtained for the formation energy is -388 meV per atom. Its total magnetization is 0.00 μB per formula unit.

---

The following is a GGA-PBE calculation of a relaxed Tb3Al2Ge3 crystal, from Alexandria.

The space group is Cmcm (No. 63) and the conventional cell measures 4.1857, 11.1943 and 14.5558 Å, with angles of 90.00, 90.00 and 90.00 degrees. The distinct sites, in fractional coordinates, are Tb at (0.0000, 0.0617, 0.1146), Tb at (0.0000, 0.3528, 0.2500), Al at (0.0000, 0.2231, 0.6040), Ge at (0.0000, 0.3664, 0.7500) and Ge at (0.0000, 0.3827, 0.0397).

The crystal system is orthorhombic. The value obtained for the formation energy is -673 meV per atom. Its total magnetization is 0.00 μB per formula unit.

---

The following is a GGA-PBE calculation of a relaxed Tb2AlGe crystal, from Alexandria.

The space group is P4/mmm (No. 123) and the conventional cell measures 4.7684, 4.7684 and 4.0782 Å, with angles of 90.00, 90.00 and 90.00 degrees. The distinct sites, in fractional coordinates, are Tb at (0.0000, 0.5000, 0.0000), Al at (0.0000, 0.0000, 0.5000) and Ge at (0.5000, 0.5000, 0.5000).

The crystal system is tetragonal. The value obtained for the formation energy is -502 meV per atom. Its total magnetization is 0.00 μB per formula unit.

---

The following is a GGA-PBE calculation of a relaxed Tb2AlGe3 crystal, from Alexandria.

The space group is Pnma (No. 62) and the conventional cell measures 6.8626, 4.2042 and 17.7498 Å, with angles of 90.00, 90.00 and 90.00 degrees. The distinct sites, in fractional coordinates, are Tb at (0.1614, 0.2500, 0.2043), Tb at (0.1667, 0.2500, 0.4150), Al at (0.0469, 0.7500, 0.0652), Ge at (0.0437, 0.2500, 0.6718), Ge at (0.1507, 0.2500, 0.8115) and Ge at (0.2483, 0.2500, 0.0351).

The crystal system is orthorhombic. The value obtained for the formation energy is -659 meV per atom. Its total magnetization is 0.00 μB per formula unit.